1.
PrUSe2O | GGA-PBE | optimized geometry

## Properties
The calculation puts the energy relative to the elements, uncorrected at -2.02 eV per atom. Its symmetry is No. 129. The uncorrected energy comes out at -7.6183 eV/atom. The calculation puts the density at 7.71 g/cm3.

Cell and atoms, written as extended XYZ:
```
10
Lattice="-1.6245 3.7057 -0.5369 -2.7129 -0.7614 2.9530 9.0385 5.3659 9.6872" Properties=species:S:1:pos:R:3 pbc="T T T"
Pr 4.4698 4.9887 5.3927
Pr 2.4000 1.8494 5.5025
U 0.1767 2.4400 0.7914
U 6.6931 4.3981 10.1038
Se 4.9817 3.3821 8.2696
Se -0.4702 0.1454 2.4263
Se 7.3400 6.6926 8.4689
Se 1.8881 3.4560 2.6257
O 4.5193 2.6829 4.8436
O 2.3506 4.1551 6.0516
```

2.
NaCa2Te | GGA-PBE | optimized geometry

## Properties
The calculation puts the energy relative to the elements, uncorrected at -0.65 eV per atom. Its symmetry is No. 160. The uncorrected energy comes out at -2.7676 eV/atom. The calculation puts the density at 2.44 g/cm3.

Cell and atoms, written as extended XYZ:
```
4
Lattice="4.2505 0.0000 0.0000 2.1252 3.6810 0.0000 2.1252 1.2270 10.0367" Properties=species:S:1:pos:R:3 pbc="T T T"
Na 4.2505 2.4540 5.0229
Ca 2.1252 1.2270 8.0802
Ca 2.1252 1.2270 1.9504
Te 4.2505 2.4540 0.0015
```

3.
MgAgRh2 | GGA-PBE | optimized geometry

## Properties
Its symmetry is No. 123. The uncorrected energy comes out at -4.8446 eV/atom. The calculation puts the density at 8.96 g/cm3. Its energy relative to the elements is -57 meV per atom.

Cell and atoms, written as extended XYZ:
```
4
Lattice="4.0465 0.0000 0.0000 0.0000 3.9337 0.0000 0.0000 0.0000 3.9337" Properties=species:S:1:pos:R:3 pbc="T T T"
Ag 2.0232 1.9669 0.0000
Mg 2.0232 0.0000 1.9669
Rh 0.0000 0.0000 0.0000
Rh 0.0000 1.9669 1.9669
```

4.
LaNdI4 | GGA-PBE | optimized geometry

## Properties
The energy above the lowest structure with this stoichiometry is 0.0000 eV per atom. The calculation puts the energy relative to the elements, uncorrected at -1.34 eV per atom. Its symmetry is No. 10. The uncorrected energy comes out at -3.9878 eV/atom. The calculation puts the density at 5.01 g/cm3.

Cell and atoms, written as extended XYZ:
```
6
Lattice="-3.9433 -0.6747 1.5351 -2.3960 -1.5555 -6.8385 2.6036 -7.4553 3.4115" Properties=species:S:1:pos:R:3 pbc="T T T"
La 0.1038 -4.5054 -1.7135
Nd -0.6698 -4.0650 2.4733
I 1.3639 -5.9564 0.8856
I -1.1562 -3.0544 -4.3126
I -1.8189 -7.1135 -1.8185
I -1.9166 -2.5720 -0.0734
```

5.
Y4HoCd5 | GGA-PBE | optimized geometry

## Properties
Its symmetry is No. 123. The uncorrected energy comes out at -3.8479 eV/atom. The calculation puts the density at 6.84 g/cm3. Its energy relative to the elements is -347 meV per atom.

Cell and atoms, written as extended XYZ:
```
10
Lattice="-0.1564 -0.2657 -3.7305 3.6180 -0.9564 -0.0836 -4.7481 -18.0911 1.4876" Properties=species:S:1:pos:R:3 pbc="T T T"
Y -0.9467 -3.6070 0.2966
Y -1.8987 -7.2346 0.5949
Y -2.8493 -10.8566 0.8927
Y -3.8014 -14.4842 1.1910
Ho 0.0000 0.0000 0.0000
Cd 1.2621 -2.3969 -1.7602
Cd 0.3069 -6.0364 -1.4609
Cd -0.6432 -9.6566 -1.1633
Cd -1.5934 -13.2768 -0.8656
Cd -2.5486 -16.9164 -0.5663
```

6.
KOsPt2 | GGA-PBE | optimized geometry

## Properties
The energy above the lowest structure with this stoichiometry is 0.9106 eV per atom. Its symmetry is No. 216. The uncorrected energy comes out at -4.9268 eV/atom. The calculation puts the density at 14.45 g/cm3. Its energy relative to the elements is 1175 meV per atom.

Cell and atoms, written as extended XYZ:
```
4
Lattice="-2.7233 -3.6532 0.9394 0.9801 -2.7645 3.6114 -2.7284 0.0404 3.7682" Properties=species:S:1:pos:R:3 pbc="T T T"
K -2.2358 -3.1886 4.1595
Os -3.3538 -4.7830 6.2392
Pt 0.0000 0.0000 0.0000
Pt -1.1179 -1.5943 2.0797
```